[1]
! PAuS2I GGA-PBE relaxed; values from VASP
! Crystal system = tetragonal
! Fermi-level density of states = 6.3 states/eV/cell
! Raw total energy = -2.7977 eV/atom
! Formation energy from raw total energies = 0.90 eV per atom
! Magnetization = 0.00 μB per cell
&SYSTEM
  ibrav = 0, nat = 5, ntyp = 4
/
ATOMIC_SPECIES
P 30.97 P.upf
Au 196.97 Au.upf
S 32.06 S.upf
I 126.90 I.upf
ATOMIC_POSITIONS angstrom
P 0.0000 0.0000 0.0000
Au 0.0000 0.0000 2.4401
S 0.0000 2.4461 2.4401
S 2.4461 0.0000 2.4401
I 2.4461 2.4461 0.0000
CELL_PARAMETERS angstrom
4.8923 0.0000 0.0000
0.0000 4.8923 0.0000
0.0000 0.0000 4.8803

=====

[2]
! SmHfIrRh GGA-PBE relaxed; values from VASP
! Formation energy = -0.718 eV/atom
! Crystal system = cubic
! Fermi-level density of states = 2.1 states/eV/cell
! Raw total energy = -8.4390 eV/atom
! Magnetization = 0.00 μB per cell
&SYSTEM
  ibrav = 0, nat = 4, ntyp = 4
/
ATOMIC_SPECIES
Sm 150.36 Sm.upf
Hf 178.49 Hf.upf
Ir 192.22 Ir.upf
Rh 102.91 Rh.upf
ATOMIC_POSITIONS angstrom
Sm 0.0000 0.0000 0.0000
Hf 3.3826 3.3826 3.3826
Ir 1.6913 1.6913 1.6913
Rh 5.0739 5.0739 5.0739
CELL_PARAMETERS angstrom
0.0000 3.3826 3.3826
3.3826 0.0000 3.3826
3.3826 3.3826 0.0000